Entry 1:
First-principles (PBE) data for HoMgAu2 after structural relaxation, as listed in Alexandria via LeMat-Bulk.

Lattice parameters (Å, degrees): 3.4672 3.4672 6.8866 90.00 90.00 90.00
Space group P4/mmm (No. 123)
Unique sites:
Ho  0.0000  0.0000  0.0000 (multiplicity 1)
Mg  0.0000  0.0000  0.5000 (multiplicity 1)
Au  0.5000  0.5000  0.2644 (multiplicity 2)

M_tot: 0.00 μB/cell
calculated total energy: -3.92 eV/atom
calculated formation energy: -0.739 eV/atom
D(E_F): 0.43 states/eV/atom

=====

Entry 2:
First-principles (PBE) data for Na2PrHoS4 after structural relaxation, as listed in Alexandria via LeMat-Bulk.

Lattice parameters (Å, degrees): 7.0491 4.0672 7.0911 90.00 109.32 90.00
Space group P2/m (No. 10)
Unique sites:
Na  0.0000  0.0000  0.0000 (multiplicity 1)
Na  0.5000  0.5000  0.0000 (multiplicity 1)
Pr  0.0000  0.5000  0.5000 (multiplicity 1)
Ho  0.5000  0.0000  0.5000 (multiplicity 1)
S  0.2545  0.0000  0.7323 (multiplicity 2)
S  0.2673  0.5000  0.2724 (multiplicity 2)

M_tot: 0.00 μB/cell
formation energy without anion corrections: -1.8081 eV per atom
calculated total energy: -5.37 eV/atom
D(E_F): 0.00 states/eV/atom

=====

Entry 3:
First-principles (PBE) data for Li2HoMgGe2 after structural relaxation, as listed in Alexandria via LeMat-Bulk.

Lattice parameters (Å, degrees): 4.3808 4.3808 6.6592 90.00 90.00 120.00
Space group P-3m1 (No. 164)
Unique sites:
Li  0.3333  0.6667  0.1835 (multiplicity 2)
Ho  0.0000  0.0000  0.5000 (multiplicity 1)
Mg  0.0000  0.0000  0.0000 (multiplicity 1)
Ge  0.3333  0.6667  0.7448 (multiplicity 2)

M_tot: 0.00 μB/cell
calculated total energy: -3.72 eV/atom
calculated formation energy: -0.514 eV/atom
D(E_F): 0.27 states/eV/atom

=====

> Number 1 is which compound?

HoMgAu2

=====

> Which of these has the lowest D(E_F)?

Na2PrHoS4

=====

> Which formula does entry 2 have?

Na2PrHoS4

=====

> Look up the D(E_F) of the first one.

0.43 states/eV/atom